No. 1
Below is a relaxed Pm3Sm4In4 crystal, with properties calculated at the GGA-PBE level.

```
Pm3Sm4In4
1.0
-3.0005 -1.6021 -1.5497
4.5108 -0.2801 -8.4443
2.7620 -7.7419 7.1638
Pm Sm In
3 4 4
Cartesian
0.6764 -1.6700 0.4167 Pm
3.5958 -7.9542 -3.2469 Pm
2.2554 -0.1401 -4.2222 Pm
1.5365 -5.7858 3.0064 Sm
1.0800 -3.7356 -2.7371 Sm
2.7357 -3.8384 -5.8366 Sm
3.1923 -5.8886 -0.0931 Sm
4.1529 -4.8245 -3.0532 In
0.1194 -4.7997 0.2230 In
2.0185 -1.0196 -7.3621 In
-0.5083 -0.8627 -2.6319 In
```

Computed properties:
DFT total energy: -47.5 eV for the cell shown

No. 2
Below is a relaxed Pm4SmIn4 crystal, with properties calculated at the GGA-PBE level.

```
Pm4SmIn4
1.0
6.2590 0.0000 0.0000
0.0000 9.2261 0.0000
0.0000 0.0000 9.2261
Pm Sm In
8 2 8
Cartesian
2.3368 3.9474 7.6624 Pm
5.4664 6.1767 8.5604 Pm
2.3368 5.2787 1.5637 Pm
0.7927 0.6656 6.1767 Pm
3.9222 7.6624 5.2787 Pm
0.7927 8.5604 3.0494 Pm
5.4664 3.0494 0.6656 Pm
3.9222 1.5637 3.9474 Pm
0.0000 0.0000 0.0000 Sm
3.1295 4.6130 4.6130 Sm
3.8274 8.3008 1.8739 In
3.8274 0.9253 7.3521 In
0.6979 6.4870 5.5384 In
5.5612 3.6877 6.4870 In
5.5612 5.5384 2.7391 In
2.4317 1.8739 0.9253 In
2.4317 7.3521 8.3008 In
0.6979 2.7391 3.6877 In
```

Computed properties:
DFT total energy: -74.5 eV for the cell shown

No. 3
Below is a relaxed Pm8Sm5In crystal, with properties calculated at the GGA-PBE level.

```
Pm8Sm5In
1.0
-6.0020 -4.4707 3.1823
1.1350 -1.0940 -9.2296
7.5113 -2.4298 1.9528
Pm Sm In
8 5 1
Cartesian
0.3650 -1.1813 -5.7347 Pm
4.5431 -1.5426 0.7731 Pm
-1.7747 -4.9017 0.6407 Pm
3.8041 -5.2342 0.3585 Pm
-0.9392 -3.7681 -3.7030 Pm
4.9532 -5.8669 -5.1583 Pm
1.4582 -3.0590 -1.1536 Pm
4.2728 -2.4239 -5.2330 Pm
1.4386 -7.0132 2.4886 Sm
-3.2916 -5.8933 -5.0187 Sm
2.2038 -5.5439 -3.1878 Sm
0.7458 -3.4098 2.5375 Sm
-1.1824 -1.4678 0.3082 Sm
4.7250 -3.5989 -2.2714 In
```

Computed properties:
DFT total energy: -62.3 eV for the cell shown

No. 4
Below is a relaxed PmSm2In3 crystal, with properties calculated at the GGA-PBE level.

```
PmSm2In3
1.0
-0.5446 5.3130 -0.9702
-7.8815 2.4042 2.4044
2.6217 1.5547 7.0395
Pm Sm In
2 4 6
Cartesian
-2.8081 2.5724 0.4778 Pm
-5.6180 5.1448 0.9564 Pm
0.0000 0.0000 0.0000 Sm
1.3108 0.7773 3.5197 Sm
-1.5062 3.3495 4.0010 Sm
-4.2981 5.9225 4.4727 Sm
-1.1095 6.3943 5.2614 In
0.3873 3.0449 1.2858 In
-4.6949 2.8777 3.2122 In
-2.4143 5.6188 1.7577 In
-3.3901 3.6532 6.7160 In
1.6897 3.8228 4.7834 In
```

Computed properties:
relative energy among the computed polymorphs: 0.00 eV/f.u.
DFT total energy: -50.7 eV for the cell shown

No. 5
Below is a relaxed Pm4Sm15In crystal, with properties calculated at the GGA-PBE level.

```
Pm4Sm15In
1.0
5.0784 0.0000 0.0000
0.0000 5.0784 0.0000
0.0000 0.0000 25.7245
Pm Sm In
4 15 1
Cartesian
0.0000 0.0000 5.0677 Pm
0.0000 0.0000 10.2728 Pm
0.0000 0.0000 15.4516 Pm
0.0000 0.0000 20.6567 Pm
2.5392 2.5392 0.0000 Sm
2.5392 2.5392 5.0266 Sm
2.5392 2.5392 10.2487 Sm
2.5392 2.5392 15.4757 Sm
2.5392 2.5392 20.6979 Sm
2.5392 0.0000 2.4543 Sm
2.5392 0.0000 7.6590 Sm
2.5392 0.0000 12.8622 Sm
2.5392 0.0000 18.0655 Sm
2.5392 0.0000 23.2702 Sm
0.0000 2.5392 2.4543 Sm
0.0000 2.5392 7.6590 Sm
0.0000 2.5392 12.8622 Sm
0.0000 2.5392 18.0655 Sm
0.0000 2.5392 23.2702 Sm
0.0000 0.0000 0.0000 In
```

Computed properties:
DFT total energy: -93.2 eV for the cell shown

No. 6
Below is a relaxed Pm2Sm3In2 crystal, with properties calculated at the GGA-PBE level.

```
Pm2Sm3In2
1.0
3.5413 0.0000 0.0000
0.0000 8.0944 -0.7655
-1.7706 -3.3855 7.9118
Pm Sm In
2 3 2
Cartesian
1.7706 3.2901 5.3435 Pm
0.0000 1.4188 1.8028 Pm
0.0000 4.0472 -0.3827 Sm
0.0000 4.9879 2.7306 Sm
1.7706 -0.2789 4.4157 Sm
1.7706 6.7544 0.4157 In
0.0000 -2.0454 6.7306 In
```

Computed properties:
relative energy among the computed polymorphs: 0.22 eV/f.u.
DFT total energy: -30.1 eV for the cell shown

No. 7
Below is a relaxed Pm2SmIn crystal, with properties calculated at the GGA-PBE level.

```
Pm2SmIn
1.0
-3.6005 0.3845 0.3684
-0.5318 -2.7209 -2.3581
0.0688 -6.2374 7.1815
In Sm Pm
1 1 2
Cartesian
-2.0661 -1.1682 -0.9949 In
-2.0318 -4.2869 2.5959 Sm
0.0533 -4.8353 5.5672 Pm
0.0155 -1.4021 1.6143 Pm
```

Computed properties:
relative energy among the computed polymorphs: 0.20 eV/f.u.
DFT total energy: -17.8 eV for the cell shown

No. 8
Below is a relaxed Pm5SmIn2 crystal, with properties calculated at the GGA-PBE level.

```
Pm5SmIn2
1.0
3.6898 0.0000 0.0000
1.8449 8.3270 -0.6545
1.8449 1.8811 8.1380
Pm Sm In
5 1 2
Cartesian
1.8449 5.1040 3.7418 Pm
3.6898 5.1212 0.7621 Pm
3.6898 5.0868 6.7215 Pm
3.6898 7.9405 2.8289 Pm
3.6898 2.2676 4.6547 Pm
0.0000 0.0000 0.0000 Sm
5.5347 7.8687 5.7686 In
1.8449 2.3394 1.7150 In
```

Computed properties:
relative energy among the computed polymorphs: 0.86 eV/f.u.
DFT total energy: -35.3 eV for the cell shown

No. 9
Below is a relaxed PmSm6In3 crystal, with properties calculated at the GGA-PBE level.

```
PmSm6In3
1.0
7.8665 0.0000 0.0000
0.0000 9.3871 -0.6887
0.0000 -2.7661 8.9967
Pm Sm In
2 12 6
Cartesian
0.6640 -0.1562 6.9167 Pm
4.5973 6.7771 1.3912 Pm
0.8246 5.2779 5.7944 Sm
4.7578 4.4705 6.4379 Sm
2.2982 2.5950 7.9310 Sm
6.2314 7.1520 4.2994 Sm
2.3301 8.7953 -0.2171 Sm
4.9477 0.9428 6.0409 Sm
1.0145 5.6782 2.2670 Sm
6.2633 -2.1743 8.5250 Sm
2.2982 -0.5310 4.0086 Sm
6.2314 4.0260 0.3769 Sm
0.8246 2.1505 1.8701 Sm
4.7578 1.3430 2.5136 Sm
3.3926 7.3070 5.8151 In
7.3258 4.0379 8.4204 In
2.5115 2.6878 4.6502 In
6.4448 3.9331 3.6577 In
7.3258 -0.6860 2.4928 In
3.3926 2.5831 -0.1124 In
```

Computed properties:
relative energy among the computed polymorphs: 1.18 eV/f.u.
DFT total energy: -85.6 eV for the cell shown

No. 10
Below is a relaxed Pm2Sm5In crystal, with properties calculated at the GGA-PBE level.

```
Pm2Sm5In
1.0
0.0305 4.9826 0.1369
-4.2220 0.0986 -2.6479
-3.3948 -2.7473 10.0023
Pm Sm In
2 5 1
Cartesian
-4.8069 2.4386 3.0635 Pm
-2.7794 -0.1046 4.4278 Pm
-2.0957 2.5406 -1.2555 Sm
-6.2783 -0.1076 5.3149 Sm
-4.1521 2.3345 6.7073 Sm
-1.3080 2.4415 2.1764 Sm
-3.4342 -0.0005 0.7840 Sm
0.0000 0.0000 0.0000 In
```

Computed properties:
relative energy among the computed polymorphs: 0.00 eV/f.u.
DFT total energy: -36.7 eV for the cell shown

No. 11
Below is a relaxed PmSmIn4 crystal, with properties calculated at the GGA-PBE level.

```
PmSmIn4
1.0
-2.7485 3.8324 -3.8028
-5.9716 -0.4187 -0.9317
-3.7101 4.2734 2.1623
In Sm Pm
4 1 1
Cartesian
-5.9138 2.6677 -2.6889 In
-4.7829 5.0139 -1.1418 In
-7.7690 4.8045 -1.6077 In
-6.3946 2.8882 0.2939 In
0.0000 0.0000 0.0000 Sm
-3.1075 1.9218 -0.6431 Pm
```

Computed properties:
relative energy among the computed polymorphs: 0.31 eV/f.u.
DFT total energy: -22.9 eV for the cell shown

No. 12
Below is a relaxed PmSm2In9 crystal, with properties calculated at the GGA-PBE level.

```
PmSm2In9
1.0
4.6883 0.0000 0.0000
0.0000 4.6883 0.0000
0.0000 0.0000 14.0687
Pm Sm In
1 2 9
Cartesian
0.0000 0.0000 0.0000 Pm
0.0000 0.0000 4.6936 Sm
0.0000 0.0000 9.3752 Sm
2.3442 2.3442 0.0000 In
2.3442 2.3442 4.6900 In
2.3442 2.3442 9.3787 In
2.3442 0.0000 2.3529 In
2.3442 0.0000 7.0344 In
2.3442 0.0000 11.7158 In
0.0000 2.3442 2.3529 In
0.0000 2.3442 7.0344 In
0.0000 2.3442 11.7158 In
```

Computed properties:
DFT total energy: -44.4 eV for the cell shown

No. 13
Below is a relaxed Pm3Sm4In crystal, with properties calculated at the GGA-PBE level.

```
Pm3Sm4In
1.0
11.0974 2.8304 0.0000
4.0131 7.5226 0.0000
0.0000 0.0000 7.1833
In Sm Pm
2 8 6
Cartesian
10.2024 3.7083 7.1833 In
6.3437 7.0232 3.5917 In
6.2697 7.1757 7.1833 Sm
4.7182 2.3308 0.0000 Sm
1.5238 2.5277 1.7356 Sm
9.3225 6.6877 1.7751 Sm
11.8147 8.3743 3.5916 Sm
10.2787 3.5488 3.5917 Sm
9.3226 6.6877 5.4082 Sm
1.5238 2.5277 5.4477 Sm
12.0352 8.5784 7.1833 Pm
3.9143 5.3614 1.8570 Pm
7.2209 4.0274 1.8169 Pm
4.4992 2.1324 3.5917 Pm
7.2209 4.0274 5.3663 Pm
3.9143 5.3614 5.3264 Pm
```

Computed properties:
relative energy among the computed polymorphs: 0.00 eV/f.u.
DFT total energy: -73.4 eV for the cell shown

No. 14
Below is a relaxed Pm2Sm2In crystal, with properties calculated at the GGA-PBE level.

```
Pm2Sm2In
1.0
-0.9631 -3.6514 2.3214
2.9010 1.2196 3.1219
-7.3179 5.5619 1.4803
Pm Sm In
2 2 1
Cartesian
-5.2525 3.5954 3.4763 Pm
-0.1276 -0.4653 3.4473 Pm
-3.6560 0.3473 3.2617 Sm
-1.7240 2.7828 3.6619 Sm
0.0000 0.0000 0.0000 In
```

Computed properties:
DFT total energy: -20.4 eV for the cell shown

No. 15
Below is a relaxed Pm2Sm2In7 crystal, with properties calculated at the GGA-PBE level.

```
Pm2Sm2In7
1.0
6.9260 -0.0031 -0.5829
0.0031 7.5607 0.0036
-1.0133 -0.0023 6.8762
Pm Sm In
2 2 7
Cartesian
4.5368 7.5577 1.6683 Pm
1.3790 -0.0024 4.6286 Pm
4.8376 3.7759 5.1491 Sm
1.0783 3.7794 1.1478 Sm
6.4185 2.2612 2.8588 In
2.4545 5.2914 6.5856 In
-0.5026 5.2941 3.4381 In
3.4614 2.2639 -0.2887 In
0.0000 0.0000 0.0000 In
2.9604 5.2567 3.1474 In
2.9555 2.2986 3.1495 In
```

Computed properties:
DFT total energy: -38.3 eV for the cell shown

No. 16
Below is a relaxed Pm2Sm7In2 crystal, with properties calculated at the GGA-PBE level.

```
Pm2Sm7In2
1.0
3.7089 0.0000 0.0000
1.8544 10.4240 -0.3188
1.8544 4.6618 9.3289
Pm Sm In
2 7 2
Cartesian
5.5633 12.2476 6.1824 Pm
1.8544 3.8354 1.1581 Pm
3.7089 1.7663 3.0674 Sm
5.5633 8.7816 7.5655 Sm
3.7089 4.8350 9.0390 Sm
3.7089 6.5006 2.6499 Sm
3.7089 9.6705 4.5431 Sm
3.7089 11.5476 8.9094 Sm
1.8544 4.2609 4.8655 Sm
1.8544 9.2017 1.7277 In
3.7089 6.6014 6.0814 In
```

Computed properties:
DFT total energy: -48.5 eV for the cell shown

No. 17
Below is a relaxed Pm12SmIn3 crystal, with properties calculated at the GGA-PBE level.

```
Pm12SmIn3
1.0
-3.1783 3.0861 2.2566
-1.5868 -3.7348 2.8726
14.2146 4.5614 13.7826
Pm Sm In
12 1 3
Cartesian
-2.3826 -0.3244 2.5646 Pm
1.2494 0.8411 6.0862 Pm
4.7247 1.9563 9.4559 Pm
8.2001 3.0715 12.8256 Pm
0.2872 2.1451 2.9477 Pm
3.7750 3.2644 6.3295 Pm
7.2613 4.3831 9.7098 Pm
10.7491 5.5023 13.0916 Pm
1.0830 -1.2653 3.2556 Pm
4.5708 -0.1461 6.6375 Pm
8.0570 0.9726 10.0177 Pm
11.5449 2.0919 13.3995 Pm
0.0000 0.0000 0.0000 Sm
3.6428 1.1689 3.5321 In
7.1073 2.2807 6.8913 In
10.5719 3.3924 10.2506 In
```

Computed properties:
DFT total energy: -73.1 eV for the cell shown

No. 18
Below is a relaxed PmSm5In6 crystal, with properties calculated at the GGA-PBE level.

```
PmSm5In6
1.0
5.1280 1.7439 0.0000
2.6758 9.0030 0.0000
1.3379 4.5015 8.1325
Pm Sm In
1 5 6
Cartesian
0.0000 0.0000 0.0000 Pm
3.9019 5.3735 5.4304 Sm
1.3379 4.5015 2.7144 Sm
3.9019 5.3735 0.0000 Sm
2.6757 9.0030 5.4180 Sm
5.2397 9.8749 2.7021 Sm
4.5131 3.5645 2.7175 In
3.2906 7.1824 2.7175 In
1.9469 2.6981 0.0000 In
5.8568 8.0488 0.0000 In
5.8509 8.0660 5.4149 In
4.6285 11.6839 5.4149 In
```

Computed properties:
DFT total energy: -50.7 eV for the cell shown

No. 19
Below is a relaxed Pm3Sm2In3 crystal, with properties calculated at the GGA-PBE level.

```
Pm3Sm2In3
1.0
4.4933 0.0000 0.0000
0.0000 5.0283 0.0000
-2.2466 -2.5142 10.4740
Pm Sm In
3 2 3
Cartesian
2.2466 2.5142 2.4979 Pm
0.0000 0.0000 7.9761 Pm
2.2466 0.0000 0.0000 Pm
2.2466 0.0000 4.9640 Sm
0.0000 2.5142 5.5100 Sm
0.0000 0.0000 2.6176 In
0.0000 2.5142 0.0000 In
2.2466 2.5142 7.8564 In
```

Computed properties:
DFT total energy: -34.8 eV for the cell shown

No. 20
Below is a relaxed Pm3SmIn4 crystal, with properties calculated at the GGA-PBE level.

```
Pm3SmIn4
1.0
3.8444 0.0000 0.0000
0.0000 3.8444 0.0000
0.0000 0.0000 15.3841
In Sm Pm
4 1 3
Cartesian
0.0000 0.0000 13.4830 In
0.0000 0.0000 1.9011 In
0.0000 0.0000 5.7634 In
0.0000 0.0000 9.6207 In
1.9222 1.9222 0.0000 Sm
1.9222 1.9222 3.8331 Pm
1.9222 1.9222 7.6920 Pm
1.9222 1.9222 11.5510 Pm
```

Computed properties:
DFT total energy: -33.9 eV for the cell shown

No. 21
Below is a relaxed Pm3Sm7In crystal, with properties calculated at the GGA-PBE level.

```
Pm3Sm7In
1.0
-1.9358 8.0608 2.5532
2.0509 -1.5975 6.5987
4.6922 2.5969 -4.6411
Pm Sm In
3 7 1
Cartesian
1.8606 6.7922 2.9713 Pm
4.2060 8.0903 0.6514 Pm
0.8354 7.5908 -0.3271 Pm
4.0063 2.8911 -2.4285 Sm
1.6879 1.6080 -0.1353 Sm
2.7164 0.6956 3.1356 Sm
1.6331 2.7111 5.8384 Sm
0.6224 3.4984 2.5868 Sm
3.9453 3.9908 3.5514 Sm
5.0196 2.1017 0.8319 Sm
2.9409 4.8252 0.2541 In
```

Computed properties:
DFT total energy: -49.0 eV for the cell shown

Calculated magnetization (μB per cell), listed in the same order as above: 0.0, 0.0, 0.0, 0.0, 0.0, 0.0, 0.0, 0.0, 0.0, 0.0, 0.0, 0.0, 0.0, 0.0, 0.0, 0.0, 0.0, 0.0, 0.0, 0.0, 0.0
Calculated V (A^3/atom), listed in the same order as above: 31.29, 29.60, 34.62, 28.26, 33.17, 31.09, 31.50, 31.82, 32.47, 32.08, 26.20, 25.77, 32.38, 34.45, 32.33, 33.29, 31.39, 28.13, 29.58, 28.42, 34.35
Calculated calculated formation energy (eV per atom), listed in the same order as above: -0.3064, -0.2858, 0.1479, -0.4947, -0.0346, -0.1386, -0.2218, -0.1680, -0.1498, -0.1111, -0.4086, -0.4622, -0.1053, 0.2498, -0.0131, -0.0442, -0.1957, -0.4927, -0.3623, -0.4961, 0.0958